#a
First-principles (PBE) data for an optimized crystal structure of TcAgOF2, as listed in the Alexandria database.

Values from the calculation:
Space-group type: P4/mmm, No. 123
Spin magnetization (Bohr magnetons per cell): 5.0

Geometry as CIF:
```
data_TcAgOF2
_space_group_name_H-M_alt 'P 1'
_space_group_IT_number 1
_cell_length_a 4.284
_cell_length_b 4.284
_cell_length_c 4.211
_cell_angle_alpha 90.00
_cell_angle_beta 90.00
_cell_angle_gamma 90.00
loop_
_space_group_symop_operation_xyz
'x,y,z'
loop_
_atom_site_label
_atom_site_fract_x
_atom_site_fract_y
_atom_site_fract_z
Tc1 0.500 0.500 0.500
O1 0.000 0.000 0.500
F1 0.000 0.500 0.000
Ag1 0.000 0.000 0.000
F2 0.500 0.000 0.000
```

=====

#b
First-principles (PBE) data for an optimized crystal structure of TcAgOF2, as listed in the Alexandria database.

Values from the calculation:
Space-group type: P4/mmm, No. 123
Spin magnetization (Bohr magnetons per cell): 0.0

Geometry as CIF:
```
data_TcAgOF2
_space_group_name_H-M_alt 'P 1'
_space_group_IT_number 1
_cell_length_a 4.263
_cell_length_b 4.263
_cell_length_c 3.779
_cell_angle_alpha 90.00
_cell_angle_beta 90.00
_cell_angle_gamma 90.00
loop_
_space_group_symop_operation_xyz
'x,y,z'
loop_
_atom_site_label
_atom_site_fract_x
_atom_site_fract_y
_atom_site_fract_z
F1 0.500 0.000 0.000
Tc1 0.000 0.000 0.000
O1 0.000 0.000 0.500
Ag1 0.500 0.500 0.500
F2 0.000 0.500 0.000
```

=====

Most stable of them? #b.

=====

#a
First-principles (PBE) data for an optimized crystal structure of ZrAgOF2, as listed in the Alexandria database.

Values from the calculation:
Space-group type: P4/mmm, No. 123
Spin magnetization (Bohr magnetons per cell): 0.2

Geometry as CIF:
```
data_ZrAgOF2
_space_group_name_H-M_alt 'P 1'
_space_group_IT_number 1
_cell_length_a 4.351
_cell_length_b 4.351
_cell_length_c 4.083
_cell_angle_alpha 90.00
_cell_angle_beta 90.00
_cell_angle_gamma 90.00
loop_
_space_group_symop_operation_xyz
'x,y,z'
loop_
_atom_site_label
_atom_site_fract_x
_atom_site_fract_y
_atom_site_fract_z
Zr1 0.000 0.000 0.000
Ag1 0.500 0.500 0.500
F1 0.000 0.500 0.000
O1 0.000 0.000 0.500
F2 0.500 0.000 0.000
```

=====

#b
First-principles (PBE) data for an optimized crystal structure of ZrAgOF2, as listed in the Alexandria database.

Values from the calculation:
Space-group type: P4/mmm, No. 123
Spin magnetization (Bohr magnetons per cell): 1.7

Geometry as CIF:
```
data_ZrAgOF2
_space_group_name_H-M_alt 'P 1'
_space_group_IT_number 1
_cell_length_a 4.322
_cell_length_b 4.322
_cell_length_c 4.153
_cell_angle_alpha 90.00
_cell_angle_beta 90.00
_cell_angle_gamma 90.00
loop_
_space_group_symop_operation_xyz
'x,y,z'
loop_
_atom_site_label
_atom_site_fract_x
_atom_site_fract_y
_atom_site_fract_z
Ag1 0.000 0.000 0.000
F1 0.500 0.000 0.000
F2 0.000 0.500 0.000
Zr1 0.500 0.500 0.500
O1 0.000 0.000 0.500
```

=====

Most stable of them? #a.

=====

#a
First-principles (PBE) data for an optimized crystal structure of Ag2OsF, as listed in the Alexandria database.

Values from the calculation:
Space-group type: I-42d, No. 122
Spin magnetization (Bohr magnetons per cell): 5.7

Geometry as CIF:
```
data_Ag2OsF
_space_group_name_H-M_alt 'P 1'
_space_group_IT_number 1
_cell_length_a 6.926
_cell_length_b 6.926
_cell_length_c 5.633
_cell_angle_alpha 52.06
_cell_angle_beta 52.06
_cell_angle_gamma 90.00
loop_
_space_group_symop_operation_xyz
'x,y,z'
loop_
_atom_site_label
_atom_site_fract_x
_atom_site_fract_y
_atom_site_fract_z
Ag1 0.164 0.625 0.250
Ag2 0.875 0.836 0.750
Ag3 0.586 0.125 0.250
Os1 0.000 0.000 0.000
Os2 0.750 0.250 0.500
F1 0.500 0.500 0.000
Ag4 0.375 0.414 0.750
F2 0.250 0.750 0.500
```

=====

#b
First-principles (PBE) data for an optimized crystal structure of Ag2OsF, as listed in the Alexandria database.

Values from the calculation:
Space-group type: Fm-3m, No. 225
Spin magnetization (Bohr magnetons per cell): 2.8

Geometry as CIF:
```
data_Ag2OsF
_space_group_name_H-M_alt 'P 1'
_space_group_IT_number 1
_cell_length_a 4.522
_cell_length_b 4.522
_cell_length_c 4.522
_cell_angle_alpha 60.00
_cell_angle_beta 60.00
_cell_angle_gamma 60.00
loop_
_space_group_symop_operation_xyz
'x,y,z'
loop_
_atom_site_label
_atom_site_fract_x
_atom_site_fract_y
_atom_site_fract_z
Ag1 0.250 0.250 0.250
F1 0.000 0.000 0.000
Os1 0.500 0.500 0.500
Ag2 0.750 0.750 0.750
```

=====

Most stable of them? #a.

=====

#a
First-principles (PBE) data for an optimized crystal structure of Ag2Os2F, as listed in the Alexandria database.

Values from the calculation:
Space-group type: I4/mmm, No. 139
Spin magnetization (Bohr magnetons per cell): 1.0

Geometry as CIF:
```
data_Ag2Os2F
_space_group_name_H-M_alt 'P 1'
_space_group_IT_number 1
_cell_length_a 3.861
_cell_length_b 3.861
_cell_length_c 6.670
_cell_angle_alpha 73.18
_cell_angle_beta 73.18
_cell_angle_gamma 90.00
loop_
_space_group_symop_operation_xyz
'x,y,z'
loop_
_atom_site_label
_atom_site_fract_x
_atom_site_fract_y
_atom_site_fract_z
Ag1 0.250 0.750 0.500
Ag2 0.750 0.250 0.500
Os1 0.409 0.409 0.182
Os2 0.591 0.591 0.818
F1 0.000 0.000 0.000
```

=====

#b
First-principles (PBE) data for an optimized crystal structure of Ag2Os2F, as listed in the Alexandria database.

Values from the calculation:
Space-group type: P4/mbm, No. 127
Spin magnetization (Bohr magnetons per cell): 1.5

Geometry as CIF:
```
data_Ag2Os2F
_space_group_name_H-M_alt 'P 1'
_space_group_IT_number 1
_cell_length_a 8.206
_cell_length_b 8.206
_cell_length_c 2.667
_cell_angle_alpha 90.00
_cell_angle_beta 90.00
_cell_angle_gamma 90.00
loop_
_space_group_symop_operation_xyz
'x,y,z'
loop_
_atom_site_label
_atom_site_fract_x
_atom_site_fract_y
_atom_site_fract_z
F1 0.000 0.000 0.000
Os1 0.600 0.100 0.000
Ag1 0.694 0.806 0.500
Os2 0.100 0.400 0.000
F2 0.500 0.500 0.000
Ag2 0.806 0.306 0.500
Os3 0.400 0.900 0.000
Ag3 0.306 0.194 0.500
Os4 0.900 0.600 0.000
Ag4 0.194 0.694 0.500
```

=====

Most stable of them? #b.

=====

#a
First-principles (PBE) data for an optimized crystal structure of Ag3OsF, as listed in the Alexandria database.

Values from the calculation:
Space-group type: Pm-3m, No. 221
Spin magnetization (Bohr magnetons per cell): 2.2

Geometry as CIF:
```
data_Ag3OsF
_space_group_name_H-M_alt 'P 1'
_space_group_IT_number 1
_cell_length_a 5.156
_cell_length_b 5.156
_cell_length_c 5.156
_cell_angle_alpha 90.00
_cell_angle_beta 90.00
_cell_angle_gamma 90.00
loop_
_space_group_symop_operation_xyz
'x,y,z'
loop_
_atom_site_label
_atom_site_fract_x
_atom_site_fract_y
_atom_site_fract_z
F1 0.500 0.500 0.500
Ag1 0.500 0.000 0.000
Ag2 0.000 0.000 0.500
Os1 0.000 0.000 0.000
Ag3 0.000 0.500 0.000
```

=====

#b
First-principles (PBE) data for an optimized crystal structure of Ag3OsF, as listed in the Alexandria database.

Values from the calculation:
Space-group type: Pm-3m, No. 221
Spin magnetization (Bohr magnetons per cell): 2.4

Geometry as CIF:
```
data_Ag3OsF
_space_group_name_H-M_alt 'P 1'
_space_group_IT_number 1
_cell_length_a 4.487
_cell_length_b 4.487
_cell_length_c 4.487
_cell_angle_alpha 90.00
_cell_angle_beta 90.00
_cell_angle_gamma 90.00
loop_
_space_group_symop_operation_xyz
'x,y,z'
loop_
_atom_site_label
_atom_site_fract_x
_atom_site_fract_y
_atom_site_fract_z
Ag1 0.500 0.000 0.000
Ag2 0.000 0.500 0.000
Os1 0.500 0.500 0.500
F1 0.000 0.000 0.000
Ag3 0.000 0.000 0.500
```

=====

Most stable of them? #b.

=====

#a
First-principles (PBE) data for an optimized crystal structure of AgPF2, as listed in the Alexandria database.

Values from the calculation:
Space-group type: R-3m, No. 166
Spin magnetization (Bohr magnetons per cell): 0.0

Geometry as CIF:
```
data_AgPF2
_space_group_name_H-M_alt 'P 1'
_space_group_IT_number 1
_cell_length_a 8.212
_cell_length_b 8.212
_cell_length_c 8.212
_cell_angle_alpha 19.80
_cell_angle_beta 19.80
_cell_angle_gamma 19.80
loop_
_space_group_symop_operation_xyz
'x,y,z'
loop_
_atom_site_label
_atom_site_fract_x
_atom_site_fract_y
_atom_site_fract_z
F1 0.095 0.095 0.095
P1 0.500 0.500 0.500
Ag1 0.000 0.000 0.000
F2 0.905 0.905 0.905
```

=====

#b
First-principles (PBE) data for an optimized crystal structure of AgPF2, as listed in the Alexandria database.

Values from the calculation:
Space-group type: Fm-3m, No. 225
Spin magnetization (Bohr magnetons per cell): 0.0

Geometry as CIF:
```
data_AgPF2
_space_group_name_H-M_alt 'P 1'
_space_group_IT_number 1
_cell_length_a 4.239
_cell_length_b 4.239
_cell_length_c 4.239
_cell_angle_alpha 60.00
_cell_angle_beta 60.00
_cell_angle_gamma 60.00
loop_
_space_group_symop_operation_xyz
'x,y,z'
loop_
_atom_site_label
_atom_site_fract_x
_atom_site_fract_y
_atom_site_fract_z
Ag1 0.500 0.500 0.500
F1 0.750 0.750 0.750
P1 0.000 0.000 0.000
F2 0.250 0.250 0.250
```

=====

Most stable of them? #a.